*one*
Entry from the Alexandria database: an optimized crystal structure of ScTcGe3 (GGA-PBE).

a b c (Å): 5.0218 5.0218 5.0218
angles (deg): 90.00 90.00 90.00
Closest atoms and distances in Å follow each position.
Space group Pm-3m (No. 221)
Symmetry-distinct sites (fractional):
Sc 0.0000 0.0000 0.0000 x1  6 Ge 2.51
Tc 0.5000 0.5000 0.5000 x1  12 Ge 3.55
Ge 0.0000 0.0000 0.5000 x3  2 Sc 2.51

The crystal system is cubic.

***

*two*
Entry from the Alexandria database: an optimized crystal structure of ScTcGe3 (GGA-PBE).

a b c (Å): 4.7952 4.7952 4.7952
angles (deg): 90.00 90.00 90.00
Closest atoms and distances in Å follow each position.
Space group Pm-3m (No. 221)
Symmetry-distinct sites (fractional):
Sc 0.0000 0.0000 0.0000 x1  12 Ge 3.39
Tc 0.5000 0.5000 0.5000 x1  6 Ge 2.40
Ge 0.0000 0.5000 0.5000 x3  2 Tc 2.40

The crystal system is cubic.

***

*three*
Entry from the Alexandria database: an optimized crystal structure of ScTcGe3 (GGA-PBE).

a b c (Å): 5.4099 11.4040 5.8875
angles (deg): 90.00 90.00 90.00
Closest atoms and distances in Å follow each position.
Space group Cmcm (No. 63)
Symmetry-distinct sites (fractional):
Sc 0.0000 0.0856 0.2500 x4  4 Ge 2.81-2.90
Tc 0.0000 0.5000 0.0000 x4  6 Ge 2.50-2.54
Ge 0.0000 0.3224 0.7500 x4  2 Tc 2.50, 2 Ge 2.52
Ge 0.2390 0.1332 0.7500 x8  2 Ge 2.52-2.59, 2 Tc 2.54, 1 Sc 2.81

The crystal system is orthorhombic.

***

Least stable structure: *one*

***

*one*
Entry from the Alexandria database: an optimized crystal structure of Sc2GeTe (GGA-PBE).

a b c (Å): 3.7803 3.7803 27.1440
angles (deg): 90.00 90.00 120.00
Closest atoms and distances in Å follow each position.
Space group R-3m (No. 166, hexagonal axes)
Symmetry-distinct sites (fractional):
Sc 0.0000 0.0000 0.0982 x6  1 Ge 2.67, 3 Te 2.87
Ge 0.0000 0.0000 0.0000 x3  2 Sc 2.67
Te 0.0000 0.0000 0.5000 x3  6 Sc 2.87

The crystal system is trigonal.

***

*two*
Entry from the Alexandria database: an optimized crystal structure of Sc2GeTe (GGA-PBE).

a b c (Å): 4.0143 4.0143 20.1476
angles (deg): 90.00 90.00 120.00
Closest atoms and distances in Å follow each position.
Space group R-3m (No. 166, hexagonal axes)
Symmetry-distinct sites (fractional):
Sc 0.0000 0.0000 0.2393 x6  3 Ge 2.74, 3 Te 2.99
Ge 0.0000 0.0000 0.5000 x3  6 Sc 2.74
Te 0.0000 0.0000 0.0000 x3  6 Sc 2.99

The crystal system is trigonal.

***

Least stable structure: *one*

***

*one*
Entry from the Alexandria database: an optimized crystal structure of Sc2GeTe (GGA-PBE).

a b c (Å): 7.0516 7.0516 7.0516
angles (deg): 90.00 90.00 90.00
Closest atoms and distances in Å follow each position.
Space group Fm-3m (No. 225)
Symmetry-distinct sites (fractional):
Sc 0.2500 0.2500 0.2500 x8  4 Ge 3.05, 4 Te 3.05
Ge 0.0000 0.0000 0.0000 x4  8 Sc 3.05
Te 0.0000 0.0000 0.5000 x4  8 Sc 3.05

The crystal system is cubic.

***

*two*
Entry from the Alexandria database: an optimized crystal structure of Sc2GeTe (GGA-PBE).

a b c (Å): 6.3377 6.3377 12.8717
angles (deg): 90.00 90.00 90.00
Closest atoms and distances in Å follow each position.
Space group I-42d (No. 122)
Symmetry-distinct sites (fractional):
Sc 0.2107 0.2500 0.1250 x8  2 Ge 2.62, 2 Te 2.91
Ge 0.0000 0.0000 0.0000 x4  4 Sc 2.62
Te 0.0000 0.0000 0.5000 x4  4 Sc 2.91

The crystal system is tetragonal.

***

Least stable structure: *two*

***

*one*
Entry from the Alexandria database: an optimized crystal structure of ScTl2Ge (GGA-PBE).

a b c (Å): 7.3403 7.3403 7.3403
angles (deg): 90.00 90.00 90.00
Closest atoms and distances in Å follow each position.
Space group Fm-3m (No. 225)
Symmetry-distinct sites (fractional):
Sc 0.0000 0.0000 0.0000 x4  8 Tl 3.18
Tl 0.2500 0.2500 0.2500 x8  4 Ge 3.18, 4 Sc 3.18
Ge 0.0000 0.0000 0.5000 x4  8 Tl 3.18

The crystal system is cubic.

***

*two*
Entry from the Alexandria database: an optimized crystal structure of ScTl2Ge (GGA-PBE).

a b c (Å): 8.2146 8.2146 5.9295
angles (deg): 90.00 90.00 90.00
Closest atoms and distances in Å follow each position.
Space group I-42d (No. 122)
Symmetry-distinct sites (fractional):
Sc 0.0000 0.0000 0.0000 x4  2 Ge 2.96, 4 Tl 3.13
Tl 0.2267 0.2500 0.6250 x8  2 Ge 2.87, 2 Tl 2.99, 2 Sc 3.13
Ge 0.0000 0.0000 0.5000 x4  4 Tl 2.87, 2 Sc 2.96

The crystal system is tetragonal.

***

Least stable structure: *one*